No. 1
VASP calculation (PBE-GGA) on CdInP2Cl after structural relaxation.

Results
- Magnetization: 0.965 μB/f.u.
- Density: 4.0 g/cm3
- Distance to the lowest polymorph of the same formula: 0.0398 eV per atom
- Space-group type: P4/mmm, No. 123
- V: 134.2 Å³/cell
- Formation energy (no corrections): 586 meV per atom

POSCAR file:
```
CdInP2Cl
1.0
-1.5655 1.7371 -4.5414
-3.2953 -3.8872 -0.3509
-3.6003 2.8419 2.3281
Cl In Cd P
1 1 1 2
Direct
0.0000 0.0000 0.5000 Cl
0.0000 0.0000 0.0000 In
0.5000 0.5000 0.5000 Cd
0.5000 0.0000 0.0000 P
0.0000 0.5000 0.0000 P
```

---

No. 2
VASP calculation (PBE-GGA) on PaCdInCl6 after structural relaxation.

Results
- Magnetization: 0.048 μB/f.u.
- Density: 2.9 g/cm3
- Space-group type: P-31c, No. 163
- V: 769.9 Å³/cell
- Formation energy (no corrections): -1380 meV per atom

POSCAR file:
```
PaCdInCl6
1.0
7.8897 0.0000 0.0000
-3.9448 6.8326 0.0000
0.0000 0.0000 14.2827
Pa Cl In Cd
2 12 2 2
Direct
0.3333 0.6667 0.7500 Pa
0.6667 0.3333 0.2500 Pa
0.4071 0.0583 0.1470 Cl
0.6512 0.5929 0.1470 Cl
0.3488 0.4071 0.8530 Cl
0.3488 0.9417 0.6470 Cl
0.9417 0.3488 0.1470 Cl
0.9417 0.5929 0.3530 Cl
0.6512 0.0583 0.3530 Cl
0.4071 0.3488 0.3530 Cl
0.5929 0.9417 0.8530 Cl
0.5929 0.6512 0.6470 Cl
0.0583 0.4071 0.6470 Cl
0.0583 0.6512 0.8530 Cl
0.3333 0.6667 0.2500 In
0.6667 0.3333 0.7500 In
0.0000 0.0000 0.5000 Cd
0.0000 0.0000 0.0000 Cd
```

---

No. 3
VASP calculation (PBE-GGA) on CdIn2PbCl6 after structural relaxation.

Results
- Magnetization: 0.000 μB/f.u.
- Density: 3.8 g/cm3
- Space-group type: P4mm, No. 99
- V: 334.7 Å³/cell
- Formation energy (no corrections): -962 meV per atom

POSCAR file:
```
CdIn2PbCl6
1.0
5.8810 0.0000 0.0000
0.0000 7.5435 0.0000
0.0000 0.0000 7.5435
Cl In Pb Cd
6 2 1 1
Direct
0.1765 0.0000 0.0000 Cl
0.7173 0.7624 0.2376 Cl
0.1453 0.5000 0.5000 Cl
0.7173 0.2376 0.7624 Cl
0.7173 0.7624 0.7624 Cl
0.7173 0.2376 0.2376 Cl
0.0236 0.5000 0.0000 In
0.0236 0.0000 0.5000 In
0.6143 0.5000 0.5000 Pb
0.5945 0.0000 0.0000 Cd
```